*one*
Entry from Alexandria: an optimized crystal structure of Pr7Ho2Mg2 (PBE).

Results
Total magnetic moment (μB per cell): 0.00

Cell: 6.572 6.572 8.716 Å, 98.31 98.31 91.64°
Fractional coordinates of all 11 atoms:
1 Pr 0.000 0.000 0.000
2 Pr 0.076 0.450 0.787
3 Pr 0.155 0.155 0.419
4 Pr 0.450 0.076 0.787
5 Pr 0.550 0.924 0.213
6 Pr 0.845 0.845 0.581
7 Pr 0.924 0.550 0.213
8 Ho 0.400 0.400 0.146
9 Ho 0.600 0.600 0.854
10 Mg 0.332 0.668 0.500
11 Mg 0.668 0.332 0.500



*two*
Entry from Alexandria: an optimized crystal structure of Pr7Ho2Mg2 (PBE).

Results
Total magnetic moment (μB per cell): 0.00

Cell: 7.990 7.990 6.203 Å, 104.66 104.66 94.18°
Fractional coordinates of all 11 atoms:
1 Pr 0.000 0.000 0.000
2 Pr 0.061 0.579 0.808
3 Pr 0.421 0.421 0.203
4 Pr 0.421 0.939 0.192
5 Pr 0.579 0.061 0.808
6 Pr 0.579 0.579 0.797
7 Pr 0.939 0.421 0.192
8 Ho 0.208 0.208 0.588
9 Ho 0.792 0.792 0.412
10 Mg 0.222 0.778 0.500
11 Mg 0.778 0.222 0.500



It turns out *one* is the most stable, with the second structure 0.045 eV/atom higher.



*one*
Entry from Alexandria: an optimized crystal structure of Pr2Ho6Mg (PBE).

Results
Total magnetic moment (μB per cell): 0.00

Cell: 10.588 10.588 5.033 Å, 90.00 90.00 90.00°
Fractional coordinates of all 18 atoms:
1 Pr 0.164 0.164 0.000
2 Pr 0.336 0.664 0.500
3 Pr 0.664 0.336 0.500
4 Pr 0.836 0.836 0.000
5 Ho 0.001 0.665 0.500
6 Ho 0.165 0.499 0.000
7 Ho 0.169 0.831 0.000
8 Ho 0.331 0.331 0.500
9 Ho 0.335 0.999 0.500
10 Ho 0.499 0.165 0.000
11 Ho 0.501 0.835 0.000
12 Ho 0.665 0.001 0.500
13 Ho 0.669 0.669 0.500
14 Ho 0.831 0.169 0.000
15 Ho 0.835 0.501 0.000
16 Ho 0.999 0.335 0.500
17 Mg 0.000 0.000 0.500
18 Mg 0.500 0.500 0.000



*two*
Entry from Alexandria: an optimized crystal structure of Pr2Ho6Mg (PBE).

Results
Total magnetic moment (μB per cell): 0.00

Cell: 7.825 7.825 10.705 Å, 103.42 103.42 26.34°
Fractional coordinates of all 9 atoms:
1 Pr 0.165 0.165 0.217
2 Pr 0.835 0.835 0.783
3 Ho 0.164 0.164 0.890
4 Ho 0.166 0.166 0.556
5 Ho 0.500 0.500 0.339
6 Ho 0.500 0.500 0.661
7 Ho 0.834 0.834 0.444
8 Ho 0.836 0.836 0.110
9 Mg 0.500 0.500 0.000



It turns out *two* is the most stable, with the second structure 0.010 eV/atom higher.



*one*
Entry from Alexandria: an optimized crystal structure of PrHo4Mg (PBE).

Results
Total magnetic moment (μB per cell): 0.00

Cell: 3.599 3.599 14.193 Å, 90.00 90.00 90.00°
Fractional coordinates of all 6 atoms:
1 Pr 0.000 0.000 0.000
2 Ho 0.000 0.000 0.351
3 Ho 0.000 0.000 0.649
4 Ho 0.500 0.500 0.181
5 Ho 0.500 0.500 0.819
6 Mg 0.500 0.500 0.500



*two*
Entry from Alexandria: an optimized crystal structure of PrHo4Mg (PBE).

Results
Total magnetic moment (μB per cell): 0.00

Cell: 6.102 6.102 11.858 Å, 104.73 104.73 60.34°
Fractional coordinates of all 12 atoms:
1 Pr 0.000 0.500 0.000
2 Pr 0.500 0.000 0.500
3 Ho 0.166 0.670 0.498
4 Ho 0.250 0.419 0.749
5 Ho 0.330 0.834 0.002
6 Ho 0.419 0.250 0.249
7 Ho 0.581 0.750 0.751
8 Ho 0.670 0.166 0.998
9 Ho 0.750 0.581 0.251
10 Ho 0.834 0.330 0.502
11 Mg 0.079 0.921 0.250
12 Mg 0.921 0.079 0.750



It turns out *one* is the most stable, with the second structure 0.035 eV/atom higher.



*one*
Entry from Alexandria: an optimized crystal structure of PrSmHoMg (PBE).

Results
Total magnetic moment (μB per cell): 0.00

Cell: 3.690 3.690 9.137 Å, 90.00 90.00 90.00°
Fractional coordinates of all 4 atoms:
1 Pr 0.000 0.000 0.000
2 Sm 0.500 0.500 0.721
3 Ho 0.500 0.500 0.271
4 Mg 0.000 0.000 0.490



*two*
Entry from Alexandria: an optimized crystal structure of PrSmHoMg (PBE).

Results
Total magnetic moment (μB per cell): 0.00

Cell: 5.598 5.598 5.598 Å, 60.00 60.00 60.00°
Fractional coordinates of all 4 atoms:
1 Pr 0.000 0.000 0.000
2 Sm 0.500 0.500 0.500
3 Ho 0.250 0.250 0.250
4 Mg 0.750 0.750 0.750



It turns out *one* is the most stable, with the second structure 0.052 eV/atom higher.



*one*
Entry from Alexandria: an optimized crystal structure of TbPrHoMg (PBE).

Results
Total magnetic moment (μB per cell): 0.00

Cell: 5.572 5.572 5.572 Å, 60.00 60.00 60.00°
Fractional coordinates of all 4 atoms:
1 Tb 0.000 0.000 0.000
2 Pr 0.500 0.500 0.500
3 Ho 0.750 0.750 0.750
4 Mg 0.250 0.250 0.250



*two*
Entry from Alexandria: an optimized crystal structure of TbPrHoMg (PBE).

Results
Total magnetic moment (μB per cell): 0.00

Cell: 3.678 3.678 9.056 Å, 90.00 90.00 90.00°
Fractional coordinates of all 4 atoms:
1 Tb 0.000 0.000 0.000
2 Pr 0.500 0.500 0.278
3 Ho 0.000 0.000 0.552
4 Mg 0.500 0.500 0.774



It turns out *two* is the most stable, with the second structure 0.060 eV/atom higher.



*one*
Entry from Alexandria: an optimized crystal structure of PrHoTmMg (PBE).

Results
Total magnetic moment (μB per cell): 0.00

Cell: 3.453 3.500 10.344 Å, 90.00 99.60 90.00°
Fractional coordinates of all 4 atoms:
1 Pr 0.000 0.000 0.000
2 Ho 0.154 0.500 0.306
3 Tm 0.772 0.000 0.543
4 Mg 0.384 0.500 0.764



*two*
Entry from Alexandria: an optimized crystal structure of PrHoTmMg (PBE).

Results
Total magnetic moment (μB per cell): 0.00

Cell: 5.540 5.540 5.540 Å, 60.00 60.00 60.00°
Fractional coordinates of all 4 atoms:
1 Pr 0.000 0.000 0.000
2 Ho 0.500 0.500 0.500
3 Tm 0.250 0.250 0.250
4 Mg 0.750 0.750 0.750



It turns out *two* is the most stable, with the second structure 0.050 eV/atom higher.